(1)
Entry from Alexandria via LeMat-Bulk: crystalline Zr2ScH at its relaxed geometry (PBE-GGA).

Unit cell a=6.2416 b=6.2416 c=5.9952 alpha=58.63 beta=58.63 gamma=90.00
Closest atoms and distances in Å follow each position.
Sites, in units of the cell vectors:
Zr (0.4607, 0.1250, 0.2500)  2 H 1.94
Zr (0.3750, 0.5393, 0.7500)  2 H 1.94
Zr (0.2893, 0.6250, 0.2500)  2 H 1.94
Zr (0.8750, 0.7107, 0.7500)  2 H 1.94
H (0.5000, 0.5000, 0.0000)  4 Zr 1.94
H (0.2500, 0.7500, 0.5000)  4 Zr 1.94
Sc (0.7500, 0.2500, 0.5000)  8 Zr 3.19-3.46
Sc (0.0000, 0.0000, 0.0000)  8 Zr 3.19-3.46

Size of the total moment in μB per formula unit: 0.00
Excess energy over the best structure of this formula in the dataset in eV per formula unit: 0.030
Space-group type: I-42d
V in Å³/cell: 158.07


(2)
Entry from Alexandria via LeMat-Bulk: crystalline ZrSc2H8 at its relaxed geometry (PBE-GGA).

Unit cell a=3.2773 b=5.0610 c=5.7512 alpha=116.10 beta=106.55 gamma=90.00
Closest atoms and distances in Å follow each position.
Sites, in units of the cell vectors:
Sc (0.8282, 0.3282, 0.6565)  8 H 2.03-2.13
Sc (0.1718, 0.6718, 0.3435)  8 H 2.03-2.13
H (0.6602, 0.4261, 0.3203)  3 Sc 2.03-2.13, 1 Zr 2.07, 3 H 2.12-2.14
H (0.8422, 0.8422, 0.6844)  8 H 2.08-2.14, 2 Zr 2.25
H (0.3398, 0.5739, 0.6797)  3 Sc 2.03-2.13, 1 Zr 2.07, 3 H 2.12-2.14
H (0.0000, 0.7264, 0.0000)  2 Sc 2.04, 6 H 2.08-2.27, 2 Zr 2.15
H (0.0000, 0.2736, 0.0000)  2 Sc 2.04, 6 H 2.08-2.27, 2 Zr 2.15
H (0.6602, 0.8942, 0.3203)  3 Sc 2.03-2.13, 1 Zr 2.07, 3 H 2.12-2.14
H (0.3398, 0.1058, 0.6797)  3 Sc 2.03-2.13, 1 Zr 2.07, 3 H 2.12-2.14
H (0.1578, 0.1578, 0.3156)  8 H 2.08-2.14, 2 Zr 2.25
Zr (0.5000, 0.0000, 0.0000)  12 H 2.07-2.25

Size of the total moment in μB per formula unit: 0.00
Space-group type: Immm
Raw total energy in eV/atom: -4.86
V in Å³/cell: 81.24


(3)
Entry from Alexandria via LeMat-Bulk: crystalline ZrScH at its relaxed geometry (PBE-GGA).

Unit cell a=5.4610 b=6.6211 c=5.4516 alpha=90.00 beta=90.00 gamma=90.00
Closest atoms and distances in Å follow each position.
Sites, in units of the cell vectors:
H (0.6498, 0.7500, 0.3440)  2 Sc 2.03, 2 Zr 2.05-2.06
H (0.3502, 0.2500, 0.6560)  2 Sc 2.03, 2 Zr 2.05-2.06
H (0.8502, 0.2500, 0.8440)  2 Sc 2.03, 2 Zr 2.05-2.06
H (0.1498, 0.7500, 0.1560)  2 Sc 2.03, 2 Zr 2.05-2.06
Zr (0.5056, 0.2500, 0.9974)  2 H 2.05-2.06
Zr (0.9944, 0.7500, 0.4974)  2 H 2.05-2.06
Zr (0.0056, 0.2500, 0.5026)  2 H 2.05-2.06
Zr (0.4944, 0.7500, 0.0026)  2 H 2.05-2.06
Sc (0.0000, 0.5000, 0.0000)  2 H 2.03
Sc (0.5000, 0.0000, 0.5000)  2 H 2.03
Sc (0.5000, 0.5000, 0.5000)  2 H 2.03
Sc (0.0000, 0.0000, 0.0000)  2 H 2.03

Size of the total moment in μB per formula unit: 0.00
Excess energy over the best structure of this formula in the dataset in eV per formula unit: 0.156
Space-group type: Pnma
V in Å³/cell: 197.12